(1)
The following is a PBE calculation of an optimized crystal structure of SiSn, from the Alexandria database.

The space group is I4/m (No. 87) and the conventional cell measures 11.166, 11.166 and 4.300 Å, with angles of 90.00, 90.00 and 90.00 degrees. The asymmetric unit holds Si at (0.118, 0.715, 0.000) and Sn at (0.116, 0.287, 0.000).

The calculation puts the uncorrected formation energy at 0.336 eV/atom. As for the density of states at the Fermi level: 1.5 states/eV/cell.

(2)
The following is a PBE calculation of an optimized crystal structure of CsMnBiS3, from the Alexandria database.

The space group is P2_1/m (No. 11) and the conventional cell measures 9.634, 4.183 and 9.968 Å, with angles of 90.00, 108.47 and 90.00 degrees. The asymmetric unit holds Cs at (0.196, 0.250, 0.233), Mn at (0.091, 0.250, 0.609), Bi at (0.342, 0.750, 0.864), S at (0.139, 0.250, 0.857), S at (0.174, 0.750, 0.527) and S at (0.453, 0.750, 0.144).

The calculation puts the uncorrected formation energy at -0.708 eV/atom.

(3)
The following is a PBE calculation of an optimized crystal structure of La6BiSb3Te2, from the Alexandria database.

The space group is C2/m (No. 12) and the conventional cell measures 20.180, 4.630 and 9.251 Å, with angles of 90.00, 103.38 and 90.00 degrees. The asymmetric unit holds La at (0.002, 0.000, 0.247), La at (0.165, 0.500, 0.088), La at (0.168, 0.500, 0.578), Bi at (0.000, 0.500, 0.500), Sb at (0.000, 0.500, 0.000), Sb at (0.167, 0.000, 0.332) and Te at (0.167, 0.000, 0.834).

The calculation puts the uncorrected formation energy at -1.381 eV/atom. As for the density of states at the Fermi level: 9.5 states/eV/cell.

(4)
The following is a PBE calculation of an optimized crystal structure of Pm2PrZn3, from the Alexandria database.

The space group is Cmmm (No. 65) and the conventional cell measures 5.190, 15.601 and 7.365 Å, with angles of 90.00, 90.00 and 90.00 degrees. The asymmetric unit holds Pm at (0.000, 0.000, 0.000), Pm at (0.000, 0.000, 0.500), Pm at (0.000, 0.333, 0.000), Pr at (0.000, 0.334, 0.500), Zn at (0.000, 0.165, 0.245) and Zn at (0.000, 0.500, 0.246).

As for the density of states at the Fermi level: 27.2 states/eV/cell. The energy relative to the lowest polymorph listed for this composition comes out at 0 meV per atom. For the energy of formation, the calculation gives -0.310 eV/atom.

(5)
The following is a PBE calculation of an optimized crystal structure of Ba2CaAl2, from the Alexandria database.

The space group is I4/mmm (No. 139) and the conventional cell measures 3.927, 3.927 and 25.543 Å, with angles of 90.00, 90.00 and 90.00 degrees. The asymmetric unit holds Ba at (0.000, 0.000, 0.131), Ca at (0.000, 0.000, 0.500) and Al at (0.000, 0.500, 0.250).

As for the density of states at the Fermi level: 12.9 states/eV/cell. The energy relative to the lowest polymorph listed for this composition comes out at 171 meV per atom. For the energy of formation, the calculation gives 0.117 eV/atom.

(6)
The following is a PBE calculation of an optimized crystal structure of NpU2F11, from the Alexandria database.

The space group is Ibam (No. 72) and the conventional cell measures 8.482, 10.600 and 11.308 Å, with angles of 90.00, 90.00 and 90.00 degrees. The asymmetric unit holds Np at (0.000, 0.000, 0.250), U at (0.147, 0.318, 0.000), F at (0.000, 0.500, 0.000), F at (0.092, 0.175, 0.140), F at (0.128, 0.285, 0.500) and F at (0.220, 0.073, 0.362).

The calculation puts the uncorrected formation energy at -3.568 eV/atom. As for the density of states at the Fermi level: 68.0 states/eV/cell.